# 1
DFT (PBE) results for a relaxed structure of PbSI.

a = 4.1551 Å, b = 4.1551 Å, c = 6.5169 Å
α = 90.00°, β = 90.00°, γ = 120.00°
Space group P3m1 (No. 156)
One atom of each set of equivalent atoms:
1 Pb 0.0000 0.0000 0.0000
2 S 0.3333 0.6667 0.2153
3 I 0.6667 0.3333 0.6561

Output
Raw formation energy, meV per atom: -207
Crystal system: trigonal
Electronic total energy, eV/atom: -3.335



# 2
DFT (PBE) results for a relaxed structure of Pb2S2I.

a = 5.446 Å, b = 5.446 Å, c = 10.019 Å
α = 90.00°, β = 90.00°, γ = 90.00°
Space group I4/mmm (No. 139)
One atom of each set of equivalent atoms:
1 Pb 0.000 0.500 0.250
2 S 0.000 0.000 0.132
3 I 0.000 0.000 0.500

Output
Raw formation energy, meV per atom: -242
Crystal system: tetragonal
Electronic total energy, eV/atom: -3.686



# 3
DFT (PBE) results for a relaxed structure of PbS8I2.

a = 15.587 Å, b = 6.264 Å, c = 11.493 Å
α = 90.00°, β = 130.27°, γ = 90.00°
Space group C2/m (No. 12)
One atom of each set of equivalent atoms:
1 Pb 0.000 0.000 0.000
2 S 0.072 0.500 0.301
3 S 0.164 0.266 0.286
4 S 0.192 0.500 0.176
5 I 0.241 0.500 0.846

Output
Raw formation energy, meV per atom: 162
Crystal system: monoclinic
Electronic total energy, eV/atom: -3.459



# 4
DFT (PBE) results for a relaxed structure of PbSI2.

a = 7.944 Å, b = 7.944 Å, c = 7.944 Å
α = 90.00°, β = 90.00°, γ = 90.00°
Space group Fm-3m (No. 225)
One atom of each set of equivalent atoms:
1 Pb 0.000 0.000 0.000
2 S 0.000 0.000 0.500
3 I 0.250 0.250 0.250

Output
Raw formation energy, meV per atom: 220
Crystal system: cubic
Electronic total energy, eV/atom: -2.514



# 5
DFT (PBE) results for a relaxed structure of PbSI.

a = 6.786 Å, b = 8.827 Å, c = 7.960 Å
α = 90.00°, β = 109.63°, γ = 90.00°
Space group Cc (No. 9)
One atom of each set of equivalent atoms:
1 Pb 0.000 0.097 0.000
2 S 0.184 0.181 0.358
3 I 0.467 0.224 0.108

Output
Raw formation energy, meV per atom: -160
Crystal system: monoclinic
Electronic total energy, eV/atom: -3.288



# 6
DFT (PBE) results for a relaxed structure of PbSI.

a = 8.064 Å, b = 8.025 Å, c = 7.696 Å
α = 90.00°, β = 119.69°, γ = 90.00°
Space group Cm (No. 8)
One atom of each set of equivalent atoms:
1 Pb 0.000 0.247 0.000
2 S 0.146 0.000 0.837
3 S 0.305 0.000 0.160
4 I 0.083 0.500 0.703
5 I 0.371 0.500 0.295

Output
Raw formation energy, meV per atom: -361
Crystal system: monoclinic
Electronic total energy, eV/atom: -3.490



# 7
DFT (PBE) results for a relaxed structure of Pb3SI.

a = 5.674 Å, b = 5.674 Å, c = 5.674 Å
α = 90.00°, β = 90.00°, γ = 90.00°
Space group Pm-3m (No. 221)
One atom of each set of equivalent atoms:
1 Pb 0.000 0.000 0.500
2 S 0.000 0.000 0.000
3 I 0.500 0.500 0.500

Output
Raw formation energy, meV per atom: 92
Crystal system: cubic
Electronic total energy, eV/atom: -3.268



# 8
DFT (PBE) results for a relaxed structure of PbS3I.

a = 5.115 Å, b = 5.115 Å, c = 5.115 Å
α = 90.00°, β = 90.00°, γ = 90.00°
Space group Pm-3m (No. 221)
One atom of each set of equivalent atoms:
1 Pb 0.000 0.000 0.000
2 S 0.000 0.500 0.500
3 I 0.500 0.500 0.500

Output
Raw formation energy, meV per atom: 480
Crystal system: cubic
Electronic total energy, eV/atom: -3.048



Q: Among the records above, which one has the highest electronic total energy?
A: PbSI2



Q: Which of these has the lowest raw formation energy?
A: number 6



Q: The lowest raw formation energy belongs to which entry?
A: number 6



Copy entry 6 word for word.
DFT (PBE) results for a relaxed structure of PbSI.

a = 8.064 Å, b = 8.025 Å, c = 7.696 Å
α = 90.00°, β = 119.69°, γ = 90.00°
Space group Cm (No. 8)
One atom of each set of equivalent atoms:
1 Pb 0.000 0.247 0.000
2 S 0.146 0.000 0.837
3 S 0.305 0.000 0.160
4 I 0.083 0.500 0.703
5 I 0.371 0.500 0.295

Output
Raw formation energy, meV per atom: -361
Crystal system: monoclinic
Electronic total energy, eV/atom: -3.490